# 1
Material: FeCo5Pt6
Method: DFT, GGA-PBE
State: optimized geometry

Calculated values
The total magnetic moment is 14.70 μB/cell. The energy relative to the elements is -0.126 eV per atom. As for the density of states at the Fermi level: 1.134 states/eV/atom. Its total energy is -6.813 eV/atom.

Cell and atoms, written as POSCAR:
```
FeCo5Pt6
1.0
3.6869 0.0006 -1.0310
-2.6037 6.2109 -2.2286
0.0040 0.1055 7.0929
Co Fe Pt
5 1 6
Direct
0.5000 0.1672 0.8328
0.0000 0.3326 0.6674
0.5000 0.5000 0.5000
0.0000 0.6674 0.3326
0.5000 0.8328 0.1672
0.0000 0.0000 0.0000
0.2504 0.0836 0.4171
0.7496 0.5829 0.9164
0.7516 0.2515 0.2515
0.2484 0.7485 0.7485
0.2504 0.4171 0.0836
0.7496 0.9164 0.5829
```

# 2
Material: FeCo2Pt
Method: DFT, GGA-PBE
State: optimized geometry

Calculated values
The total magnetic moment is 6.46 μB/cell. The energy relative to the elements is -0.084 eV per atom. As for the density of states at the Fermi level: 0.977 states/eV/atom. Its total energy is -7.262 eV/atom.

Cell and atoms, written as POSCAR:
```
FeCo2Pt
1.0
3.5674 0.0000 0.0000
0.0000 2.6486 -0.0062
0.0000 2.6520 5.2951
Co Fe Pt
2 1 1
Direct
0.0000 0.9720 0.0278
0.5000 0.2582 0.2417
0.0000 0.5205 0.4796
0.5000 0.7493 0.7509
```

# 3
Material: FeCo2Pt
Method: DFT, GGA-PBE
State: optimized geometry

Calculated values
The total magnetic moment is 6.27 μB/cell. The energy relative to the elements is -0.003 eV per atom. As for the density of states at the Fermi level: 0.688 states/eV/atom. Its total energy is -7.182 eV/atom.

Cell and atoms, written as POSCAR:
```
FeCo2Pt
1.0
8.4082 -0.0346 -0.0203
7.9996 2.5893 -0.0203
7.9996 1.2456 2.2702
Co Fe Pt
2 1 1
Direct
0.9946 0.9946 0.9946
0.5054 0.5054 0.5054
0.2500 0.2500 0.2500
0.7500 0.7500 0.7500
```

# 4
Material: FeCo12Pt4
Method: DFT, GGA-PBE
State: optimized geometry

Calculated values
The total magnetic moment is 27.26 μB/cell. The energy relative to the elements is 0.799 eV per atom. As for the density of states at the Fermi level: 1.957 states/eV/atom. Its total energy is -6.136 eV/atom.

Cell and atoms, written as POSCAR:
```
FeCo12Pt4
1.0
7.3080 -0.0214 -2.6053
-3.6550 6.3325 -2.5951
0.0281 0.0214 7.7584
Fe Co Pt
1 12 4
Direct
0.0000 0.5000 0.5000
0.2304 0.6352 0.8656
0.0958 0.7308 0.3651
0.3657 0.7308 0.6349
0.1352 0.8659 0.7307
0.8648 0.5956 0.7307
0.2304 0.3648 0.5952
0.7696 0.6352 0.4048
0.8648 0.1341 0.2693
0.1352 0.4044 0.2693
0.6343 0.2692 0.3651
0.9042 0.2692 0.6349
0.7696 0.3648 0.1344
0.5000 0.0000 0.0000
0.0000 0.5000 0.0000
0.0000 0.0000 0.5000
0.5000 0.5000 0.5000
```

# 5
Material: FeCoPt
Method: DFT, GGA-PBE
State: optimized geometry

Calculated values
The total magnetic moment is 19.57 μB/cell. The energy relative to the elements is -0.085 eV per atom. As for the density of states at the Fermi level: 0.978 states/eV/atom. The energy above the most stable polymorph in this dataset is 32 meV/atom. Its total energy is -7.288 eV/atom.

Cell and atoms, written as POSCAR:
```
FeCoPt
1.0
-1.6637 -0.7134 2.0242
-7.7437 -2.2384 -7.1534
1.7676 -5.0593 -0.3303
Fe Co Pt
4 4 4
Direct
0.2500 0.4242 0.1473
0.2500 0.0758 0.6473
0.7500 0.9242 0.3527
0.7500 0.5758 0.8527
0.2500 0.0752 0.1376
0.2500 0.4248 0.6376
0.7500 0.5752 0.3624
0.7500 0.9248 0.8624
0.7500 0.2467 0.3868
0.7500 0.2533 0.8868
0.2500 0.7467 0.1132
0.2500 0.7533 0.6132
```

# 6
Material: Fe4Co3Pt
Method: DFT, GGA-PBE
State: optimized geometry

Calculated values
The total magnetic moment is 33.94 μB/cell. The energy relative to the elements is -0.053 eV per atom. As for the density of states at the Fermi level: 0.821 states/eV/atom. Its total energy is -7.704 eV/atom.

Cell and atoms, written as POSCAR:
```
Fe4Co3Pt
1.0
3.9351 0.0000 0.0000
0.0000 6.3239 0.0000
0.0000 0.0000 7.8693
Co Fe Pt
6 8 2
Direct
0.0000 0.0000 0.0000
0.0000 0.0000 0.5000
0.5000 0.0000 0.7500
0.5000 0.0000 0.2500
0.5000 0.5000 0.7500
0.5000 0.5000 0.2500
0.5000 0.7661 0.0000
0.5000 0.7661 0.5000
0.5000 0.2339 0.0000
0.5000 0.2339 0.5000
0.0000 0.7663 0.7500
0.0000 0.7663 0.2500
0.0000 0.2337 0.2500
0.0000 0.2337 0.7500
0.0000 0.5000 0.0000
0.0000 0.5000 0.5000
```

# 7
Material: Fe4Co2Pt5
Method: DFT, GGA-PBE
State: optimized geometry

Calculated values
The total magnetic moment is 34.62 μB/cell. The energy relative to the elements is -0.079 eV per atom. As for the density of states at the Fermi level: 0.684 states/eV/atom. Its total energy is -7.194 eV/atom.

Cell and atoms, written as POSCAR:
```
Fe4Co2Pt5
1.0
-2.3825 -2.7831 1.4092
-1.3899 -1.5485 -5.4081
10.1886 -8.7756 -0.1059
Fe Co Pt
8 4 10
Direct
0.5000 0.2985 0.5480
0.5000 0.7015 0.4520
0.5000 0.7985 0.9520
0.5000 0.2015 0.0480
0.5000 0.3893 0.8711
0.5000 0.6107 0.1289
0.5000 0.8893 0.6289
0.5000 0.1107 0.3711
0.5000 0.5020 0.2939
0.5000 0.4980 0.7061
0.5000 0.0020 0.2061
0.5000 0.9980 0.7939
0.0000 0.5000 0.0000
0.0000 0.0000 0.5000
0.0000 0.3186 0.1954
0.0000 0.6814 0.8046
0.0000 0.8186 0.3046
0.0000 0.1814 0.6954
0.0000 0.4093 0.4057
0.0000 0.5907 0.5943
0.0000 0.9093 0.0943
0.0000 0.0907 0.9057
```

# 8
Material: Fe4CoPt3
Method: DFT, GGA-PBE
State: optimized geometry

Calculated values
The total magnetic moment is 14.23 μB/cell. The energy relative to the elements is -0.173 eV per atom. As for the density of states at the Fermi level: 0.977 states/eV/atom. Its total energy is -7.558 eV/atom.

Cell and atoms, written as POSCAR:
```
Fe4CoPt3
1.0
-1.6437 3.0270 -1.6805
1.1046 -1.3046 -3.4302
-6.0044 -4.5958 1.9459
Co Fe Pt
1 4 3
Direct
0.5000 0.0000 0.0000
0.3792 0.3790 0.7586
0.6208 0.6210 0.2414
0.1210 0.1208 0.2414
0.8790 0.8792 0.7586
0.0000 0.5000 0.0000
0.7501 0.2501 0.5002
0.2499 0.7499 0.4998
```